Entry 1:
A geometry-optimized RbNaBeH4 structure, computed with PBE-GGA.

a b c (Å): 5.732 5.732 7.191
angles (deg): 90.00 90.00 114.78
Fractional coordinates of all 14 atoms:
Rb 0.000 0.000 0.000
Rb 0.000 0.000 0.500
Na 0.345 0.655 0.750
Na 0.655 0.345 0.250
Be 0.364 0.636 0.250
Be 0.636 0.364 0.750
H 0.266 0.358 0.250
H 0.281 0.719 0.080
H 0.281 0.719 0.420
H 0.358 0.266 0.750
H 0.642 0.734 0.250
H 0.719 0.281 0.580
H 0.719 0.281 0.920
H 0.734 0.642 0.750

- raw total energy (eV per atom) = -2.969
- crystal system = orthorhombic

Entry 2:
A geometry-optimized BaLi2ZnGa structure, computed with PBE-GGA.

a b c (Å): 5.097 5.097 5.000
angles (deg): 90.00 90.00 90.00
Fractional coordinates of all 5 atoms:
Ba 0.000 0.000 0.000
Li 0.000 0.500 0.500
Li 0.500 0.000 0.500
Zn 0.500 0.500 0.000
Ga 0.500 0.500 0.500

- crystal system = tetragonal
- relative energy among the computed polymorphs (eV/atom) = 0.000
- ΔH_f (0 K) (eV per atom) = -0.133

Entry 3:
A geometry-optimized Pr2Dy5Y2 structure, computed with PBE-GGA.

a b c (Å): 10.143 10.143 10.143
angles (deg): 84.82 108.11 141.20
Fractional coordinates of all 18 atoms:
Pr 0.000 0.000 0.000
Pr 0.000 0.500 0.500
Pr 0.081 0.839 0.742
Pr 0.097 0.339 0.258
Dy 0.119 0.027 0.376
Dy 0.119 0.243 0.592
Dy 0.141 0.637 0.004
Dy 0.437 0.141 0.191
Dy 0.437 0.746 0.796
Dy 0.632 0.137 0.996
Dy 0.651 0.527 0.408
Dy 0.651 0.743 0.624
Dy 0.951 0.246 0.809
Dy 0.951 0.641 0.204
Y 0.540 0.670 0.123
Y 0.540 0.918 0.371
Y 0.547 0.170 0.629
Y 0.547 0.418 0.877

- crystal system = orthorhombic
- relative energy among the computed polymorphs (eV/atom) = 0.000
- ΔH_f (0 K) (eV per atom) = 0.203

Entry 4:
A geometry-optimized Na2Sn3 structure, computed with PBE-GGA.

a b c (Å): 8.502 6.493 9.664
angles (deg): 59.73 41.27 79.01
Fractional coordinates of all 10 atoms:
Na 0.135 0.865 0.258
Na 0.508 0.992 0.385
Na 0.865 0.135 0.742
Na 0.992 0.508 0.115
Sn 0.145 0.145 0.855
Sn 0.395 0.395 0.105
Sn 0.450 0.563 0.324
Sn 0.563 0.450 0.663
Sn 0.587 0.926 0.687
Sn 0.926 0.587 0.800

- crystal system = orthorhombic
- relative energy among the computed polymorphs (eV/atom) = 0.000
- ΔH_f (0 K) (eV per atom) = -0.140

Entry 5:
A geometry-optimized SrSnHgPb2 structure, computed with PBE-GGA.

a b c (Å): 5.868 5.868 5.625
angles (deg): 90.00 90.00 90.00
Fractional coordinates of all 5 atoms:
Sr 0.000 0.000 0.000
Sn 0.500 0.500 0.500
Hg 0.500 0.500 0.000
Pb 0.000 0.500 0.500
Pb 0.500 0.000 0.500

- crystal system = tetragonal
- ΔH_f (0 K) (eV per atom) = 0.105

Entry 6:
A geometry-optimized BaZnOs2O8 structure, computed with PBE-GGA.

a b c (Å): 5.579 5.579 7.506
angles (deg): 90.00 90.00 120.00
Fractional coordinates of all 12 atoms:
Ba 0.000 0.000 0.000
Zn 0.000 0.000 0.500
Os 0.333 0.667 0.729
Os 0.667 0.333 0.271
O 0.065 0.315 0.679
O 0.250 0.935 0.679
O 0.315 0.250 0.321
O 0.333 0.667 0.971
O 0.667 0.333 0.029
O 0.685 0.750 0.679
O 0.750 0.065 0.321
O 0.935 0.685 0.321

- energy relative to the elements, uncorrected (eV per atom) = -1.26
- crystal system = trigonal

Entry 7:
A geometry-optimized RbAlGa2O structure, computed with PBE-GGA.

a b c (Å): 6.123 6.123 6.244
angles (deg): 90.00 90.00 90.00
Fractional coordinates of all 5 atoms:
Rb 0.000 0.000 0.000
Al 0.000 0.000 0.500
Ga 0.000 0.500 0.000
Ga 0.500 0.000 0.000
O 0.500 0.500 0.500

- energy relative to the elements, uncorrected (eV per atom) = 1.66
- crystal system = tetragonal

Entry 8:
A geometry-optimized CdSiPt structure, computed with PBE-GGA.

a b c (Å): 3.749 3.957 7.254
angles (deg): 90.00 90.00 90.00
Fractional coordinates of all 6 atoms:
Cd 0.250 0.250 0.108
Cd 0.750 0.750 0.892
Si 0.250 0.750 0.509
Si 0.750 0.250 0.490
Pt 0.250 0.250 0.701
Pt 0.750 0.750 0.299

- energy relative to the elements, uncorrected (eV per atom) = -0.40
- crystal system = orthorhombic